Computed, not measured: a geometry-optimized NdSiBi structure at the GGA-PBE level of DFT.

Raw formation energy, eV per atom: -0.2292
D(E_F), states/eV per atom: 0.47

Unit cell a=6.9676 b=6.9676 c=12.5025 alpha=90.00 beta=90.00 gamma=120.00
Space group P6_222 (No. 180)
Symmetry-distinct sites (fractional):
1 Nd 0.0000 0.5000 0.3948 x6
2 Si 0.1869 0.5935 0.1667 x6
3 Bi 0.0000 0.0000 0.1667 x3
4 Bi 0.0000 0.5000 0.6667 x3


Computed, not measured: a geometry-optimized BaNpBeS4 structure at the GGA-PBE level of DFT.

Raw formation energy, eV per atom: -1.4285
D(E_F), states/eV per atom: 1.12

Unit cell a=6.179 b=6.410 c=8.492 alpha=90.00 beta=108.72 gamma=90.00
Space group P2_1/m (No. 11)
Symmetry-distinct sites (fractional):
1 Ba 0.239 0.250 0.435 x2
2 Np 0.269 0.250 0.945 x2
3 Be 0.281 0.750 0.176 x2
4 S 0.073 0.750 0.929 x2
5 S 0.094 0.750 0.344 x2
6 S 0.491 0.503 0.785 x4


Computed, not measured: a geometry-optimized TaZn2W structure at the GGA-PBE level of DFT.

Energy of formation from the pure elements, eV/f.u.: 2.55
D(E_F), states/eV per atom: 1.03
Distance to the lowest polymorph of the same formula, eV per formula unit: 2.237

Unit cell a=3.784 b=3.784 c=19.454 alpha=90.00 beta=90.00 gamma=90.00
Space group I-42d (No. 122)
Symmetry-distinct sites (fractional):
1 Ta 0.000 0.000 0.000 x4
2 Zn 0.239 0.250 0.625 x8
3 W 0.000 0.000 0.500 x4


Computed, not measured: a geometry-optimized Cs2CaBI6 structure at the GGA-PBE level of DFT.

Raw formation energy, eV per atom: -0.7449
D(E_F), states/eV per atom: 0.21

Unit cell a=11.770 b=11.770 c=11.770 alpha=90.00 beta=90.00 gamma=90.00
Space group Fm-3m (No. 225)
Symmetry-distinct sites (fractional):
1 Cs 0.250 0.250 0.250 x8
2 Ca 0.000 0.000 0.000 x4
3 B 0.000 0.000 0.500 x4
4 I 0.000 0.000 0.267 x24


Computed, not measured: a geometry-optimized AgPd5Pt5 structure at the GGA-PBE level of DFT.

Energy of formation from the pure elements, eV/f.u.: 4.46
D(E_F), states/eV per atom: 2.07
Distance to the lowest polymorph of the same formula, eV per formula unit: 2.725

Unit cell a=5.0411 b=5.0411 c=9.2640 alpha=90.00 beta=90.00 gamma=120.00
Space group P-6m2 (No. 187)
Symmetry-distinct sites (fractional):
1 Ag 0.0000 0.0000 0.0000 x1
2 Pd 0.0000 0.0000 0.3179 x2
3 Pd 0.3333 0.6667 0.2292 x2
4 Pd 0.6667 0.3333 0.0000 x1
5 Pt 0.0040 0.5020 0.5000 x3
6 Pt 0.6667 0.3333 0.2625 x2


Computed, not measured: a geometry-optimized Li3Ac2Hg3 structure at the GGA-PBE level of DFT.

Energy of formation from the pure elements, eV/f.u.: -1.87
D(E_F), states/eV per atom: 0.83

Unit cell a=8.7066 b=8.7066 c=7.4994 alpha=90.00 beta=90.00 gamma=120.00
Space group P6_3/mcm (No. 193)
Symmetry-distinct sites (fractional):
1 Li 0.0000 0.2543 0.2500 x6
2 Ac 0.3333 0.6667 0.0000 x4
3 Hg 0.0000 0.3647 0.7500 x6


Computed, not measured: a geometry-optimized Pr5Dy2Ho4 structure at the GGA-PBE level of DFT.

Energy of formation from the pure elements, eV/f.u.: 2.11
D(E_F), states/eV per atom: 1.60
Distance to the lowest polymorph of the same formula, eV per formula unit: 1.272

Unit cell a=3.540 b=9.198 c=23.653 alpha=90.00 beta=90.00 gamma=90.00
Space group Immm (No. 71)
Symmetry-distinct sites (fractional):
1 Pr 0.000 0.000 0.000 x2
2 Pr 0.000 0.298 0.353 x8
3 Dy 0.000 0.500 0.230 x4
4 Ho 0.000 0.186 0.500 x4
5 Ho 0.000 0.500 0.096 x4


Computed, not measured: a geometry-optimized KVAg2Te4 structure at the GGA-PBE level of DFT.

Raw formation energy, eV per atom: -0.2606
D(E_F), states/eV per atom: 0.13

Unit cell a=7.284 b=7.895 c=9.070 alpha=90.00 beta=90.00 gamma=90.00
Space group I222 (No. 23)
Symmetry-distinct sites (fractional):
1 K 0.000 0.000 0.000 x2
2 V 0.000 0.000 0.500 x2
3 Ag 0.000 0.500 0.177 x4
4 Te 0.189 0.197 0.339 x8